Entry 1:
Here is an optimized crystal structure of Tl2RePb from the Alexandria database. Energies are from PBE.

Cell: 7.749 7.749 7.749 Å, 157.23 143.64 43.33°
Positions (direct):
1 Tl 0.000 0.000 0.000
2 Tl 0.676 0.176 0.500
3 Re 0.495 0.495 0.000
4 Pb 0.321 0.821 0.500

## Properties
ΔE to the lowest computed polymorph ... 0.000 eV per atom
E_form ... 653.8 meV/atom


Entry 2:
Here is an optimized crystal structure of TlRePb2 from the Alexandria database. Energies are from PBE.

Cell: 5.203 5.203 5.203 Å, 60.00 60.00 60.00°
Positions (direct):
1 Tl 0.000 0.000 0.000
2 Re 0.500 0.500 0.500
3 Pb 0.250 0.250 0.250
4 Pb 0.750 0.750 0.750

## Properties
ΔE to the lowest computed polymorph ... 0.425 eV per atom
E_form ... 1031.6 meV/atom


Entry 3:
Here is an optimized crystal structure of Tl2RePb from the Alexandria database. Energies are from PBE.

Cell: 4.360 4.360 5.260 Å, 90.00 90.00 90.00°
Positions (direct):
1 Tl 0.000 0.500 0.000
2 Tl 0.500 0.000 0.000
3 Re 0.000 0.000 0.500
4 Pb 0.500 0.500 0.500

## Properties
ΔE to the lowest computed polymorph ... 0.447 eV per atom
E_form ... 1100.8 meV/atom


Entry 4:
Here is an optimized crystal structure of Tl2RePb from the Alexandria database. Energies are from PBE.

Cell: 3.389 5.138 5.771 Å, 90.00 105.63 90.00°
Positions (direct):
1 Tl 0.142 0.000 0.271
2 Tl 0.858 0.000 0.729
3 Re 0.500 0.500 0.500
4 Pb 0.500 0.500 0.000

## Properties
ΔE to the lowest computed polymorph ... 0.307 eV per atom
E_form ... 960.6 meV/atom


Entry 5:
Here is an optimized crystal structure of Tl2RePb from the Alexandria database. Energies are from PBE.

Cell: 6.356 6.356 3.291 Å, 103.29 103.29 122.41°
Positions (direct):
1 Tl 0.000 0.500 0.000
2 Tl 0.500 0.000 0.000
3 Re 0.000 0.000 0.500
4 Pb 0.500 0.500 0.500

## Properties
ΔE to the lowest computed polymorph ... 0.395 eV per atom
E_form ... 1048.7 meV/atom


Entry 6:
Here is an optimized crystal structure of TlRePb2 from the Alexandria database. Energies are from PBE.

Cell: 5.159 5.159 5.159 Å, 60.00 60.00 60.00°
Positions (direct):
1 Tl 0.000 0.000 0.000
2 Re 0.750 0.750 0.750
3 Pb 0.250 0.250 0.250
4 Pb 0.500 0.500 0.500

## Properties
ΔE to the lowest computed polymorph ... 0.484 eV per atom
E_form ... 1090.8 meV/atom


Entry 7:
Here is an optimized crystal structure of Tl2RePb from the Alexandria database. Energies are from PBE.

Cell: 3.157 3.157 10.814 Å, 90.00 90.00 116.10°
Positions (direct):
1 Tl 0.000 0.000 0.218
2 Tl 0.000 0.000 0.782
3 Re 0.500 0.500 0.000
4 Pb 0.500 0.500 0.500

## Properties
ΔE to the lowest computed polymorph ... 0.177 eV per atom
E_form ... 831.3 meV/atom


Entry 8:
Here is an optimized crystal structure of Tl2RePb from the Alexandria database. Energies are from PBE.

Cell: 11.352 11.352 11.352 Å, 158.08 158.08 31.20°
Positions (direct):
1 Tl 0.109 0.625 0.984
2 Tl 0.375 0.359 0.484
3 Tl 0.641 0.125 0.016
4 Tl 0.875 0.891 0.516
5 Re 0.000 0.000 0.000
6 Re 0.750 0.250 0.500
7 Pb 0.250 0.750 0.500
8 Pb 0.500 0.500 0.000

## Properties
ΔE to the lowest computed polymorph ... 0.436 eV per atom
E_form ... 1090.1 meV/atom


Entry 9:
Here is an optimized crystal structure of TlRePb2 from the Alexandria database. Energies are from PBE.

Cell: 10.946 10.946 10.946 Å, 17.15 17.15 17.15°
Positions (direct):
1 Tl 0.000 0.000 0.000
2 Re 0.263 0.263 0.263
3 Pb 0.528 0.528 0.528
4 Pb 0.760 0.760 0.760

## Properties
ΔE to the lowest computed polymorph ... 0.125 eV per atom
E_form ... 731.6 meV/atom


Entry 10:
Here is an optimized crystal structure of Tl2RePb from the Alexandria database. Energies are from PBE.

Cell: 5.586 5.586 5.586 Å, 131.26 131.26 71.40°
Positions (direct):
1 Tl 0.000 0.000 0.000
2 Tl 0.750 0.250 0.500
3 Re 0.500 0.500 0.000
4 Pb 0.250 0.750 0.500

## Properties
ΔE to the lowest computed polymorph ... 0.392 eV per atom
E_form ... 1045.8 meV/atom


Entry 11:
Here is an optimized crystal structure of Tl2RePb from the Alexandria database. Energies are from PBE.

Cell: 3.188 3.188 10.838 Å, 90.00 90.00 114.73°
Positions (direct):
1 Tl 0.000 0.000 0.000
2 Tl 0.500 0.500 0.271
3 Re 0.000 0.000 0.484
4 Pb 0.500 0.500 0.691

## Properties
ΔE to the lowest computed polymorph ... 0.085 eV per atom
E_form ... 738.6 meV/atom


Entry 12:
Here is an optimized crystal structure of TlRePb3 from the Alexandria database. Energies are from PBE.

Cell: 5.392 5.392 5.392 Å, 90.00 90.00 90.00°
Positions (direct):
1 Tl 0.000 0.000 0.000
2 Re 0.500 0.500 0.500
3 Pb 0.000 0.500 0.500
4 Pb 0.500 0.000 0.500
5 Pb 0.500 0.500 0.000

## Properties
ΔE to the lowest computed polymorph ... 0.000 eV per atom
E_form ... 530.9 meV/atom


Entry 13:
Here is an optimized crystal structure of Tl2RePb from the Alexandria database. Energies are from PBE.

Cell: 5.169 5.169 5.169 Å, 60.00 60.00 60.00°
Positions (direct):
1 Tl 0.000 0.000 0.000
2 Tl 0.250 0.250 0.250
3 Re 0.750 0.750 0.750
4 Pb 0.500 0.500 0.500

## Properties
ΔE to the lowest computed polymorph ... 0.451 eV per atom
E_form ... 1105.3 meV/atom


Entry 14:
Here is an optimized crystal structure of TlRePb2 from the Alexandria database. Energies are from PBE.

Cell: 5.571 5.571 3.302 Å, 90.00 90.00 103.18°
Positions (direct):
1 Tl 0.000 0.000 0.000
2 Re 0.500 0.500 0.000
3 Pb 0.000 0.500 0.500
4 Pb 0.500 0.000 0.500

## Properties
ΔE to the lowest computed polymorph ... 0.404 eV per atom
E_form ... 1010.2 meV/atom


Entry 15:
Here is an optimized crystal structure of TlRePb2 from the Alexandria database. Energies are from PBE.

Cell: 3.238 3.325 9.470 Å, 90.00 90.18 90.00°
Positions (direct):
1 Tl 0.000 0.000 0.000
2 Re 0.503 0.500 0.191
3 Pb 0.005 0.000 0.378
4 Pb 0.999 0.500 0.698

## Properties
ΔE to the lowest computed polymorph ... 0.131 eV per atom
E_form ... 737.4 meV/atom


Entry 16:
Here is an optimized crystal structure of TlRePb2 from the Alexandria database. Energies are from PBE.

Cell: 5.568 5.568 3.254 Å, 90.00 90.00 90.00°
Positions (direct):
1 Tl 0.000 0.000 0.000
2 Re 0.500 0.500 0.000
3 Pb 0.000 0.500 0.500
4 Pb 0.500 0.000 0.500

## Properties
ΔE to the lowest computed polymorph ... 0.418 eV per atom
E_form ... 1024.6 meV/atom


Entry 17:
Here is an optimized crystal structure of TlRePb2 from the Alexandria database. Energies are from PBE.

Cell: 3.206 3.206 10.776 Å, 90.00 90.00 113.88°
Positions (direct):
1 Tl 0.000 0.000 0.000
2 Re 0.500 0.500 0.212
3 Pb 0.000 0.000 0.417
4 Pb 0.500 0.500 0.727

## Properties
ΔE to the lowest computed polymorph ... 0.189 eV per atom
E_form ... 795.4 meV/atom


Entry 18:
Here is an optimized crystal structure of TlRePb2 from the Alexandria database. Energies are from PBE.

Cell: 7.558 7.558 7.558 Å, 155.70 143.27 44.53°
Positions (direct):
1 Tl 0.000 0.000 0.000
2 Re 0.500 0.500 0.000
3 Pb 0.323 0.823 0.500
4 Pb 0.677 0.177 0.500

## Properties
ΔE to the lowest computed polymorph ... 0.059 eV per atom
E_form ... 665.9 meV/atom


Entry 19:
Here is an optimized crystal structure of TlRePb2 from the Alexandria database. Energies are from PBE.

Cell: 3.384 3.374 8.932 Å, 90.00 90.20 90.00°
Positions (direct):
1 Tl 0.000 0.000 0.000
2 Re 0.000 0.000 0.500
3 Pb 0.499 0.500 0.308
4 Pb 0.501 0.500 0.692

## Properties
ΔE to the lowest computed polymorph ... 0.000 eV per atom
E_form ... 606.6 meV/atom


Entry 20:
Here is an optimized crystal structure of TlRePb2 from the Alexandria database. Energies are from PBE.

Cell: 10.990 10.990 10.990 Å, 17.27 17.27 17.27°
Positions (direct):
1 Tl 0.000 0.000 0.000
2 Re 0.500 0.500 0.500
3 Pb 0.235 0.235 0.235
4 Pb 0.765 0.765 0.765

## Properties
ΔE to the lowest computed polymorph ... 0.029 eV per atom
E_form ... 635.3 meV/atom


Entry 21:
Here is an optimized crystal structure of Tl2RePb from the Alexandria database. Energies are from PBE.

Cell: 3.333 5.336 5.406 Å, 90.00 90.00 90.00°
Positions (direct):
1 Tl 0.000 0.000 0.000
2 Tl 0.500 0.500 0.000
3 Re 0.000 0.500 0.500
4 Pb 0.500 0.000 0.500

## Properties
ΔE to the lowest computed polymorph ... 0.388 eV per atom
E_form ... 1042.2 meV/atom


Entry 22:
Here is an optimized crystal structure of TlRePb2 from the Alexandria database. Energies are from PBE.

Cell: 5.819 5.819 5.819 Å, 134.12 134.12 66.91°
Positions (direct):
1 Tl 0.000 0.000 0.000
2 Re 0.750 0.250 0.500
3 Pb 0.250 0.750 0.500
4 Pb 0.500 0.500 0.000

## Properties
ΔE to the lowest computed polymorph ... 0.462 eV per atom
E_form ... 1068.4 meV/atom


Entry 23:
Here is an optimized crystal structure of TlRePb2 from the Alexandria database. Energies are from PBE.

Cell: 3.206 3.206 10.873 Å, 90.00 90.00 110.24°
Positions (direct):
1 Tl 0.000 0.000 0.000
2 Re 0.000 0.000 0.500
3 Pb 0.500 0.500 0.300
4 Pb 0.500 0.500 0.700

## Properties
ΔE to the lowest computed polymorph ... 0.091 eV per atom
E_form ... 697.3 meV/atom


Entry 24:
Here is an optimized crystal structure of Tl2RePb from the Alexandria database. Energies are from PBE.

Cell: 3.189 3.189 9.581 Å, 90.00 90.00 90.00°
Positions (direct):
1 Tl 0.000 0.000 0.205
2 Tl 0.000 0.000 0.795
3 Re 0.500 0.500 0.000
4 Pb 0.500 0.500 0.500

## Properties
ΔE to the lowest computed polymorph ... 0.209 eV per atom
E_form ... 862.5 meV/atom


Entry 25:
Here is an optimized crystal structure of Tl2RePb from the Alexandria database. Energies are from PBE.

Cell: 7.880 7.880 7.880 Å, 157.56 145.00 41.97°
Positions (direct):
1 Tl 0.183 0.183 0.000
2 Tl 0.817 0.817 0.000
3 Re 0.000 0.500 0.500
4 Pb 0.500 0.000 0.500

## Properties
ΔE to the lowest computed polymorph ... 0.038 eV per atom
E_form ... 692.2 meV/atom


Entry 26:
Here is an optimized crystal structure of TlRePb2 from the Alexandria database. Energies are from PBE.

Cell: 9.025 9.025 9.025 Å, 138.93 138.93 59.48°
Positions (direct):
1 Tl 0.000 0.000 0.000
2 Tl 0.750 0.250 0.500
3 Re 0.250 0.750 0.500
4 Re 0.500 0.500 0.000
5 Pb 0.266 0.625 0.141
6 Pb 0.375 0.516 0.641
7 Pb 0.484 0.125 0.859
8 Pb 0.875 0.734 0.359

## Properties
ΔE to the lowest computed polymorph ... 0.500 eV per atom
E_form ... 1106.4 meV/atom


Entry 27:
Here is an optimized crystal structure of Tl2RePb from the Alexandria database. Energies are from PBE.

Cell: 5.141 5.141 5.141 Å, 60.00 60.00 60.00°
Positions (direct):
1 Tl 0.250 0.250 0.250
2 Tl 0.750 0.750 0.750
3 Re 0.000 0.000 0.000
4 Pb 0.500 0.500 0.500

## Properties
ΔE to the lowest computed polymorph ... 0.498 eV per atom
E_form ... 1152.1 meV/atom


Entry 28:
Here is an optimized crystal structure of TlRePb2 from the Alexandria database. Energies are from PBE.

Cell: 3.347 5.443 5.479 Å, 90.00 90.00 90.00°
Positions (direct):
1 Tl 0.000 0.000 0.000
2 Re 0.500 0.500 0.000
3 Pb 0.000 0.500 0.500
4 Pb 0.500 0.000 0.500

## Properties
ΔE to the lowest computed polymorph ... 0.473 eV per atom
E_form ... 1079.7 meV/atom


Entry 29:
Here is an optimized crystal structure of TlRePb2 from the Alexandria database. Energies are from PBE.

Cell: 7.729 7.729 7.729 Å, 156.14 144.78 42.98°
Positions (direct):
1 Tl 0.000 0.000 0.000
2 Re 0.815 0.315 0.500
3 Pb 0.321 0.821 0.500
4 Pb 0.640 0.640 0.000

## Properties
ΔE to the lowest computed polymorph ... 0.083 eV per atom
E_form ... 689.6 meV/atom


Entry 30:
Here is an optimized crystal structure of Tl2RePb from the Alexandria database. Energies are from PBE.

Cell: 3.103 3.329 9.776 Å, 90.00 91.19 90.00°
Positions (direct):
1 Tl 0.000 0.000 0.000
2 Tl 0.323 0.500 0.712
3 Re 0.802 0.000 0.514
4 Pb 0.294 0.500 0.318

## Properties
ΔE to the lowest computed polymorph ... 0.054 eV per atom
E_form ... 708.1 meV/atom